{"formula": "Tb3Pm4Dy3", "functional": "PBE-GGA", "state": "optimized geometry", "e_tot_ev_per_cell": -45.7, "total_magnetization_mub_per_cell": 0.00, "rho_g_cm3": 7.74, "dos_at_fermi_per_ev_atom": 0.85, "sg": "Amm2", "formation_enthalpy_0k_ev_per_atom": 0.10, "lattice": [[3.804, 0.000, 0.000], [0.000, 9.330, -0.045], [0.000, 0.037, 9.331]], "species": ["Tb", "Dy", "Tb", "Pm", "Tb", "Pm", "Dy", "Dy", "Pm", "Pm"], "fractional_positions": [[0.500, 0.669, 0.669], [0.000, 0.000, 0.501], [0.500, 0.331, 0.331], [0.000, 0.130, 0.130], [0.500, 0.831, 0.169], [0.000, 0.369, 0.631], [0.500, 0.169, 0.831], [0.000, 0.499, 0.000], [0.000, 0.631, 0.369], [0.000, 0.870, 0.870]]}

=====

{"formula": "Tb2Pm7Dy3", "functional": "PBE-GGA", "state": "optimized geometry", "e_tot_ev_per_cell": -52.9, "total_magnetization_mub_per_cell": 0.00, "rho_g_cm3": 7.10, "dos_at_fermi_per_ev_atom": 1.55, "sg": "P2/m", "de_polymorph_mev_per_atom": 178, "formation_enthalpy_0k_ev_per_atom": 0.29, "lattice": [[-2.224, 2.786, 4.232], [-0.149, -5.248, 3.376], [11.280, 2.597, 4.219]], "species": ["Tb", "Pm", "Tb", "Pm", "Pm", "Dy", "Dy", "Pm", "Dy", "Pm", "Pm", "Pm"], "fractional_positions": [[0.500, 0.388, 0.722], [0.000, 0.000, 0.000], [0.500, 0.612, 0.278], [0.500, 0.087, 0.170], [0.000, 0.558, 0.817], [0.000, 0.064, 0.658], [0.500, 0.500, 0.000], [0.500, 0.242, 0.453], [0.000, 0.936, 0.342], [0.000, 0.442, 0.183], [0.500, 0.758, 0.547], [0.500, 0.913, 0.830]]}

=====

{"formula": "Tb3Pm2Dy9", "functional": "PBE-GGA", "state": "optimized geometry", "e_tot_ev_per_cell": -63.7, "total_magnetization_mub_per_cell": 0.00, "rho_g_cm3": 8.20, "dos_at_fermi_per_ev_atom": 1.62, "sg": "P1", "formation_enthalpy_0k_ev_per_atom": 0.08, "lattice": [[0.995, -0.349, 6.351], [12.688, 2.120, 6.332], [5.937, 6.902, 4.880]], "species": ["Dy", "Tb", "Dy", "Tb", "Tb", "Dy", "Dy", "Dy", "Dy", "Pm", "Dy", "Pm", "Dy", "Dy"], "fractional_positions": [[0.275, 0.096, 0.079], [0.510, 0.251, 0.413], [0.951, 0.448, 0.928], [0.053, 0.046, 0.908], [0.523, 0.745, 0.579], [0.987, 0.487, 0.509], [0.731, 0.884, 0.954], [0.071, 0.532, 0.088], [0.426, 0.690, 0.017], [0.614, 0.342, 0.573], [0.589, 0.289, 0.002], [0.275, 0.696, 0.416], [0.148, 0.097, 0.478], [0.847, 0.898, 0.554]]}

=====

{"formula": "Tb7Pm2Dy", "functional": "PBE-GGA", "state": "optimized geometry", "e_tot_ev_per_cell": -44.9, "total_magnetization_mub_per_cell": 0.00, "rho_g_cm3": 7.84, "dos_at_fermi_per_ev_atom": 1.61, "sg": "Cmmm", "formation_enthalpy_0k_ev_per_atom": 0.16, "lattice": [[3.511, 0.000, 0.000], [0.000, 14.022, -4.789], [0.000, -10.600, 10.353]], "species": ["Tb", "Tb", "Pm", "Tb", "Tb", "Tb", "Tb", "Tb", "Pm", "Dy"], "fractional_positions": [[0.500, 0.852, 0.656], [0.500, 0.148, 0.344], [0.500, 0.293, 0.707], [0.000, 0.186, 0.814], [0.000, 0.814, 0.186], [0.500, 0.656, 0.852], [0.500, 0.344, 0.148], [0.500, 0.500, 0.500], [0.500, 0.707, 0.293], [0.000, 0.000, 0.000]]}

=====

{"formula": "Tb2PmDy3", "functional": "PBE-GGA", "state": "optimized geometry", "e_tot_ev_per_cell": -55.5, "total_magnetization_mub_per_cell": 0.00, "rho_g_cm3": 8.09, "dos_at_fermi_per_ev_atom": 1.65, "sg": "C2/m", "de_polymorph_mev_per_atom": 17, "formation_enthalpy_0k_ev_per_atom": 0.01, "lattice": [[-2.487, -1.795, 1.961], [7.312, -8.568, 1.433], [0.840, 9.268, 6.170]], "species": ["Pm", "Dy", "Tb", "Pm", "Dy", "Dy", "Tb", "Tb", "Dy", "Dy", "Dy", "Tb"], "fractional_positions": [[0.389, 0.014, 0.777], [0.611, 0.487, 0.223], [0.944, 0.816, 0.888], [0.611, 0.986, 0.223], [0.055, 0.678, 0.110], [0.389, 0.513, 0.777], [0.277, 0.651, 0.554], [0.056, 0.184, 0.112], [0.721, 0.846, 0.443], [0.945, 0.322, 0.890], [0.279, 0.154, 0.557], [0.723, 0.349, 0.446]]}

=====

{"formula": "TbPmDy4", "functional": "PBE-GGA", "state": "optimized geometry", "e_tot_ev_per_cell": -26.1, "total_magnetization_mub_per_cell": 0.95, "rho_g_cm3": 7.84, "dos_at_fermi_per_ev_atom": 1.98, "sg": "F-43m", "de_polymorph_mev_per_atom": 260, "formation_enthalpy_0k_ev_per_atom": 0.28, "lattice": [[6.587, 0.000, 0.000], [3.293, 5.704, 0.000], [3.293, 1.901, 5.378]], "species": ["Pm", "Dy", "Dy", "Tb", "Dy", "Dy"], "fractional_positions": [[0.250, 0.250, 0.250], [0.625, 0.625, 0.124], [0.625, 0.625, 0.625], [0.000, 0.000, 0.000], [0.625, 0.124, 0.625], [0.124, 0.625, 0.625]]}